A relaxed structure of TaCu2RuI. Source: Alexandria via LeMat-Bulk, functional PBE-GGA.

## Properties
Formation energy from raw total energies = 1.338 eV per atom
Volume = 23.0 Å³/atom
Space group = P4/mmm
Magnetization = 0.00 μB per cell
Electronic total energy = -4.8358 eV per atom

Cell and atoms, written as POSCAR:
```
TaCu2RuI
1.0
-2.989 3.298 2.186
-0.023 -2.602 3.893
3.957 2.474 1.677
Ru Cu Ta I
1 2 1 1
direct
0.000 0.500 0.000 Ru
0.500 0.000 0.000 Cu
0.000 0.000 0.500 Cu
0.000 0.000 0.000 Ta
0.500 0.500 0.500 I
```